Record 1
VASP calculation (GGA-PBEsol) on a geometry-optimized Ba3As4H2O14 structure.

Calculated values
For the density of states at the Fermi level, the calculation gives 0.00 states/eV per cell. The calculation puts the uncorrected energy at -6.4473 eV per atom.

abc: 7.331 7.331 14.430
angles: 103.55 103.55 69.28
Fractional coordinates of all 46 atoms:
Ba1 0.109 0.891 0.750
Ba2 0.263 0.278 0.552
Ba3 0.278 0.263 0.052
Ba4 0.722 0.737 0.948
Ba5 0.737 0.722 0.448
Ba6 0.891 0.109 0.250
As1 0.211 0.762 0.462
As2 0.238 0.789 0.038
As3 0.296 0.371 0.309
As4 0.371 0.296 0.809
As5 0.629 0.704 0.191
As6 0.704 0.629 0.691
As7 0.762 0.211 0.962
As8 0.789 0.238 0.538
H1 0.013 0.494 0.773
H2 0.494 0.013 0.273
H3 0.506 0.987 0.727
H4 0.987 0.506 0.227
O1 0.008 0.861 0.384
O2 0.115 0.625 0.991
O3 0.128 0.489 0.217
O4 0.139 0.992 0.116
O5 0.144 0.665 0.540
O6 0.177 0.272 0.359
O7 0.213 0.487 0.755
O8 0.272 0.177 0.859
O9 0.335 0.856 0.960
O10 0.375 0.885 0.509
O11 0.381 0.552 0.392
O12 0.448 0.619 0.108
O13 0.487 0.213 0.255
O14 0.489 0.128 0.717
O15 0.511 0.872 0.283
O16 0.513 0.787 0.745
O17 0.552 0.381 0.892
O18 0.619 0.448 0.608
O19 0.625 0.115 0.491
O20 0.665 0.144 0.040
O21 0.728 0.823 0.141
O22 0.787 0.513 0.245
O23 0.823 0.728 0.641
O24 0.856 0.335 0.460
O25 0.861 0.008 0.884
O26 0.872 0.511 0.783
O27 0.885 0.375 0.009
O28 0.992 0.139 0.616



Record 2
VASP calculation (GGA-PBEsol) on a geometry-optimized Ba3As2H14S8O7 structure.

Calculated values
For the density of states at the Fermi level, the calculation gives 0.00 states/eV per cell. The calculation puts the uncorrected energy at -5.0374 eV per atom.

abc: 12.491 12.551 16.408
angles: 90.00 130.95 90.00
Fractional coordinates of all 136 atoms:
Ba1 0.051 0.231 0.175
Ba2 0.051 0.269 0.675
Ba3 0.302 0.523 0.208
Ba4 0.302 0.977 0.708
Ba5 0.327 0.618 0.758
Ba6 0.327 0.882 0.258
Ba7 0.673 0.118 0.742
Ba8 0.673 0.382 0.242
Ba9 0.698 0.023 0.292
Ba10 0.698 0.477 0.792
Ba11 0.949 0.731 0.325
Ba12 0.949 0.769 0.825
As1 0.042 0.243 0.418
As2 0.042 0.257 0.918
As3 0.462 0.748 0.599
As4 0.462 0.752 0.099
As5 0.538 0.248 0.901
As6 0.538 0.252 0.401
As7 0.958 0.743 0.082
As8 0.958 0.757 0.582
H1 0.080 0.504 0.910
H2 0.080 0.996 0.410
H3 0.094 0.009 0.920
H4 0.094 0.491 0.420
H5 0.147 0.032 0.812
H6 0.147 0.468 0.312
H7 0.165 0.009 0.323
H8 0.165 0.491 0.823
H9 0.186 0.597 0.944
H10 0.186 0.903 0.444
H11 0.215 0.564 0.438
H12 0.215 0.936 0.938
H13 0.283 0.099 0.859
H14 0.283 0.401 0.359
H15 0.297 0.076 0.356
H16 0.297 0.424 0.856
H17 0.329 0.107 0.544
H18 0.329 0.393 0.044
H19 0.371 0.104 0.177
H20 0.371 0.396 0.677
H21 0.374 0.015 0.107
H22 0.374 0.485 0.607
H23 0.402 0.507 0.063
H24 0.402 0.993 0.563
H25 0.436 0.203 0.092
H26 0.436 0.297 0.592
H27 0.448 0.667 0.413
H28 0.448 0.833 0.913
H29 0.552 0.167 0.087
H30 0.552 0.333 0.587
H31 0.564 0.703 0.408
H32 0.564 0.797 0.908
H33 0.598 0.007 0.437
H34 0.598 0.493 0.937
H35 0.626 0.515 0.393
H36 0.626 0.985 0.893
H37 0.629 0.604 0.323
H38 0.629 0.896 0.823
H39 0.671 0.607 0.956
H40 0.671 0.893 0.456
H41 0.703 0.576 0.144
H42 0.703 0.924 0.644
H43 0.717 0.599 0.641
H44 0.717 0.901 0.141
H45 0.785 0.064 0.062
H46 0.785 0.436 0.562
H47 0.814 0.097 0.556
H48 0.814 0.403 0.056
H49 0.835 0.509 0.177
H50 0.835 0.991 0.677
H51 0.853 0.532 0.688
H52 0.853 0.968 0.188
H53 0.906 0.509 0.580
H54 0.906 0.991 0.080
H55 0.920 0.004 0.590
H56 0.920 0.496 0.090
S1 0.014 0.111 0.974
S2 0.014 0.389 0.474
S3 0.032 0.107 0.496
S4 0.032 0.393 0.996
S5 0.135 0.717 0.253
S6 0.135 0.783 0.753
S7 0.236 0.240 0.444
S8 0.236 0.260 0.944
S9 0.266 0.727 0.070
S10 0.266 0.773 0.570
S11 0.358 0.241 0.728
S12 0.358 0.259 0.228
S13 0.450 0.593 0.532
S14 0.450 0.907 0.032
S15 0.482 0.622 0.021
S16 0.482 0.878 0.521
S17 0.518 0.122 0.479
S18 0.518 0.378 0.979
S19 0.550 0.093 0.968
S20 0.550 0.407 0.468
S21 0.642 0.741 0.772
S22 0.642 0.759 0.272
S23 0.734 0.227 0.430
S24 0.734 0.273 0.930
S25 0.764 0.740 0.056
S26 0.764 0.760 0.556
S27 0.865 0.217 0.247
S28 0.865 0.283 0.747
S29 0.968 0.607 0.004
S30 0.968 0.893 0.504
S31 0.986 0.611 0.526
S32 0.986 0.889 0.026
O1 0.109 0.555 0.880
O2 0.109 0.945 0.380
O3 0.114 0.541 0.384
O4 0.114 0.959 0.884
O5 0.194 0.073 0.790
O6 0.194 0.427 0.290
O7 0.206 0.042 0.293
O8 0.206 0.458 0.793
O9 0.389 0.049 0.599
O10 0.389 0.451 0.099
O11 0.397 0.028 0.176
O12 0.397 0.472 0.676
O13 0.460 0.688 0.360
O14 0.460 0.812 0.860
O15 0.540 0.188 0.140
O16 0.540 0.312 0.640
O17 0.603 0.528 0.324
O18 0.603 0.972 0.824
O19 0.611 0.549 0.901
O20 0.611 0.951 0.401
O21 0.794 0.542 0.207
O22 0.794 0.958 0.707
O23 0.806 0.573 0.710
O24 0.806 0.927 0.210
O25 0.886 0.041 0.116
O26 0.886 0.459 0.616
O27 0.891 0.055 0.620
O28 0.891 0.445 0.120



Record 3
VASP calculation (GGA-PBEsol) on a geometry-optimized BaHfAs3 structure.

Calculated values
For the density of states at the Fermi level, the calculation gives 3.38 states/eV per cell. The calculation puts the uncorrected energy at -6.2452 eV per atom. The formation energy comes out at -0.651 eV per atom.

abc: 5.143 5.143 5.143
angles: 90.00 90.00 90.00
Fractional coordinates of all 5 atoms:
Ba1 0.000 0.000 0.000
Hf1 0.500 0.500 0.500
As1 0.000 0.500 0.500
As2 0.500 0.000 0.500
As3 0.500 0.500 0.000



Record 4
VASP calculation (GGA-PBEsol) on a geometry-optimized BaHf2As2 structure.

Calculated values
For the density of states at the Fermi level, the calculation gives 3.89 states/eV per cell. The calculation puts the uncorrected energy at -7.5132 eV per atom. The formation energy comes out at -0.840 eV per atom.

abc: 7.458 7.458 7.458
angles: 146.77 146.77 47.71
Fractional coordinates of all 5 atoms:
Ba1 0.000 0.000 0.000
Hf1 0.250 0.750 0.500
Hf2 0.750 0.250 0.500
As1 0.372 0.372 0.000
As2 0.628 0.628 0.000



Record 5
VASP calculation (GGA-PBEsol) on a geometry-optimized Ba2HgAs structure.

Calculated values
For the density of states at the Fermi level, the calculation gives 2.40 states/eV per cell. The calculation puts the uncorrected energy at -3.3021 eV per atom. The formation energy comes out at -0.809 eV per atom.

abc: 4.826 6.502 6.502
angles: 42.17 90.00 90.00
Fractional coordinates of all 4 atoms:
Ba1 0.000 0.000 0.000
Ba2 0.500 0.268 0.268
Hg1 0.000 0.714 0.714
As1 0.500 0.555 0.555



Record 6
VASP calculation (GGA-PBEsol) on a geometry-optimized BaHg2As structure.

Calculated values
For the density of states at the Fermi level, the calculation gives 2.47 states/eV per cell. The calculation puts the uncorrected energy at -2.5260 eV per atom. The formation energy comes out at -0.429 eV per atom.

abc: 5.486 5.486 5.486
angles: 128.29 115.75 86.90
Fractional coordinates of all 4 atoms:
Ba1 0.000 0.000 0.000
Hg1 0.285 0.785 0.500
Hg2 0.531 0.531 0.000
As1 0.717 0.217 0.500



Record 7
VASP calculation (GGA-PBEsol) on a geometry-optimized Ba3HgAs structure.

Calculated values
For the density of states at the Fermi level, the calculation gives 5.10 states/eV per cell. The calculation puts the uncorrected energy at -2.8897 eV per atom. The formation energy comes out at -0.466 eV per atom.

abc: 6.256 6.256 6.256
angles: 90.00 90.00 90.00
Fractional coordinates of all 5 atoms:
Ba1 0.000 0.000 0.500
Ba2 0.000 0.500 0.000
Ba3 0.500 0.000 0.000
Hg1 0.500 0.500 0.500
As1 0.000 0.000 0.000



Record 8
VASP calculation (GGA-PBEsol) on a geometry-optimized BaHg2As structure.

Calculated values
For the density of states at the Fermi level, the calculation gives 1.67 states/eV per cell. The calculation puts the uncorrected energy at -2.4376 eV per atom. The formation energy comes out at -0.340 eV per atom.

abc: 3.709 4.052 7.177
angles: 90.00 90.00 90.00
Fractional coordinates of all 4 atoms:
Ba1 0.000 0.000 0.000
Hg1 0.000 0.000 0.520
Hg2 0.500 0.500 0.319
As1 0.500 0.500 0.725



Record 9
VASP calculation (GGA-PBEsol) on a geometry-optimized Ba2HgAs structure.

Calculated values
For the density of states at the Fermi level, the calculation gives 2.87 states/eV per cell. The calculation puts the uncorrected energy at -3.2342 eV per atom. The formation energy comes out at -0.741 eV per atom.

abc: 8.628 8.628 8.628
angles: 31.72 31.72 31.72
Fractional coordinates of all 4 atoms:
Ba1 0.237 0.237 0.237
Ba2 0.763 0.763 0.763
Hg1 0.000 0.000 0.000
As1 0.500 0.500 0.500



Record 10
VASP calculation (GGA-PBEsol) on a geometry-optimized BaHg3As structure.

Calculated values
For the density of states at the Fermi level, the calculation gives 5.20 states/eV per cell. The calculation puts the uncorrected energy at -0.9952 eV per atom. The formation energy comes out at 0.796 eV per atom.

abc: 6.142 6.142 6.142
angles: 90.00 90.00 90.00
Fractional coordinates of all 5 atoms:
Ba1 0.000 0.000 0.000
Hg1 0.000 0.000 0.500
Hg2 0.000 0.500 0.000
Hg3 0.500 0.000 0.000
As1 0.500 0.500 0.500



Record 11
VASP calculation (GGA-PBEsol) on a geometry-optimized BaHg2As structure.

Calculated values
For the density of states at the Fermi level, the calculation gives 1.63 states/eV per cell. The calculation puts the uncorrected energy at -2.5377 eV per atom. The formation energy comes out at -0.440 eV per atom.

abc: 5.880 5.880 5.880
angles: 136.04 128.21 70.23
Fractional coordinates of all 4 atoms:
Ba1 0.000 0.000 0.000
Hg1 0.275 0.775 0.500
Hg2 0.725 0.225 0.500
As1 0.500 0.500 0.000



Record 12
VASP calculation (GGA-PBEsol) on a geometry-optimized Ba2HgAs structure.

Calculated values
For the density of states at the Fermi level, the calculation gives 3.73 states/eV per cell. The calculation puts the uncorrected energy at -2.8578 eV per atom. The formation energy comes out at -0.365 eV per atom.

abc: 5.577 5.577 5.577
angles: 60.00 60.00 60.00
Fractional coordinates of all 4 atoms:
Ba1 0.000 0.000 0.000
Ba2 0.250 0.250 0.250
Hg1 0.500 0.500 0.500
As1 0.750 0.750 0.750



Record 13
VASP calculation (GGA-PBEsol) on a geometry-optimized Ba2HgAs structure.

Calculated values
For the density of states at the Fermi level, the calculation gives 1.66 states/eV per cell. The calculation puts the uncorrected energy at -3.3050 eV per atom. The formation energy comes out at -0.812 eV per atom.

abc: 4.079 4.079 7.833
angles: 90.00 90.00 90.00
Fractional coordinates of all 4 atoms:
Ba1 0.000 0.000 0.218
Ba2 0.000 0.000 0.782
Hg1 0.500 0.500 0.500
As1 0.500 0.500 0.000



Record 14
VASP calculation (GGA-PBEsol) on a geometry-optimized Ba2HgAs2 structure.

Calculated values
For the density of states at the Fermi level, the calculation gives 3.13 states/eV per cell. The calculation puts the uncorrected energy at -3.8732 eV per atom. The formation energy comes out at -0.858 eV per atom.

abc: 8.218 8.218 4.536
angles: 90.00 90.00 90.00
Fractional coordinates of all 10 atoms:
Ba1 0.185 0.315 0.000
Ba2 0.315 0.815 0.000
Ba3 0.685 0.185 0.000
Ba4 0.815 0.685 0.000
Hg1 0.000 0.000 0.500
Hg2 0.500 0.500 0.500
As1 0.105 0.605 0.500
As2 0.395 0.105 0.500
As3 0.605 0.895 0.500
As4 0.895 0.395 0.500



Record 15
VASP calculation (GGA-PBEsol) on a geometry-optimized BaHg2As structure.

Calculated values
For the density of states at the Fermi level, the calculation gives 2.11 states/eV per cell. The calculation puts the uncorrected energy at -2.5145 eV per atom. The formation energy comes out at -0.417 eV per atom.

abc: 4.764 4.764 5.219
angles: 90.00 90.00 95.27
Fractional coordinates of all 4 atoms:
Ba1 0.000 0.000 0.000
Hg1 0.296 0.704 0.500
Hg2 0.704 0.296 0.500
As1 0.500 0.500 0.000



Record 16
VASP calculation (GGA-PBEsol) on a geometry-optimized Ba2HgAs2 structure.

Calculated values
For the density of states at the Fermi level, the calculation gives 3.45 states/eV per cell. The calculation puts the uncorrected energy at -3.5544 eV per atom. The formation energy comes out at -0.539 eV per atom.

abc: 10.106 10.106 10.106
angles: 157.28 157.28 32.34
Fractional coordinates of all 5 atoms:
Ba1 0.115 0.115 0.000
Ba2 0.885 0.885 0.000
Hg1 0.500 0.500 0.000
As1 0.250 0.750 0.500
As2 0.750 0.250 0.500



Record 17
VASP calculation (GGA-PBEsol) on a geometry-optimized BaHgAs structure.

Calculated values
For the density of states at the Fermi level, the calculation gives 2.18 states/eV per cell. The calculation puts the uncorrected energy at -3.2759 eV per atom. The formation energy comes out at -0.669 eV per atom.

abc: 4.655 4.655 4.719
angles: 90.00 90.00 120.00
Fractional coordinates of all 3 atoms:
Ba1 0.000 0.000 0.000
Hg1 0.667 0.333 0.556
As1 0.333 0.667 0.432



Record 18
VASP calculation (GGA-PBEsol) on a geometry-optimized Ba4HgAs structure.

Calculated values
For the density of states at the Fermi level, the calculation gives 8.16 states/eV per cell. The calculation puts the uncorrected energy at -2.1450 eV per atom. The formation energy comes out at 0.233 eV per atom.

abc: 6.884 6.884 6.884
angles: 60.00 60.00 60.00
Fractional coordinates of all 6 atoms:
Ba1 0.376 0.376 0.376
Ba2 0.376 0.376 0.871
Ba3 0.376 0.871 0.376
Ba4 0.871 0.376 0.376
Hg1 0.000 0.000 0.000
As1 0.750 0.750 0.750



Record 19
VASP calculation (GGA-PBEsol) on a geometry-optimized BaAs3I structure.

Calculated values
For the density of states at the Fermi level, the calculation gives 5.13 states/eV per cell. The calculation puts the uncorrected energy at -3.5305 eV per atom.

abc: 5.368 5.368 5.368
angles: 90.00 90.00 90.00
Fractional coordinates of all 5 atoms:
Ba1 0.000 0.000 0.000
As1 0.000 0.500 0.500
As2 0.500 0.000 0.500
As3 0.500 0.500 0.000
I1 0.500 0.500 0.500